{"formula": "CeInGaCl6", "functional": "PBE-GGA", "state": "relaxed", "lattice": [[6.867, 0.000, 0.000], [0.000, 6.867, 0.000], [0.000, 0.000, 13.116]], "species": ["Ce", "Ce", "In", "In", "Ga", "Ga", "Cl", "Cl", "Cl", "Cl", "Cl", "Cl", "Cl", "Cl", "Cl", "Cl", "Cl", "Cl"], "frac_coords": [[0.000, 0.000, 0.000], [0.500, 0.500, 0.500], [0.000, 0.000, 0.664], [0.500, 0.500, 0.164], [0.000, 0.000, 0.328], [0.500, 0.500, 0.828], [0.180, 0.180, 0.154], [0.188, 0.188, 0.853], [0.228, 0.228, 0.496], [0.272, 0.728, 0.996], [0.312, 0.688, 0.353], [0.320, 0.680, 0.654], [0.680, 0.320, 0.654], [0.688, 0.312, 0.353], [0.728, 0.272, 0.996], [0.772, 0.772, 0.496], [0.812, 0.812, 0.853], [0.820, 0.820, 0.154]], "spacegroup": "No. 102", "n_ef_per_ev_cell": 0.510, "raw_formation_energy_ev_per_atom": -1.452, "e_tot_ev_per_atom": -3.983}

=====

{"formula": "NaRu3Se", "functional": "PBE-GGA", "state": "relaxed", "lattice": [[4.499, 0.000, 0.000], [0.000, 4.499, 0.000], [0.000, 0.000, 4.499]], "species": ["Na", "Ru", "Ru", "Ru", "Se"], "frac_coords": [[0.000, 0.000, 0.000], [0.000, 0.000, 0.500], [0.000, 0.500, 0.000], [0.500, 0.000, 0.000], [0.500, 0.500, 0.500]], "de_polymorph_mev_per_atom": 1479, "spacegroup": "No. 221", "n_ef_per_ev_cell": 6.769, "raw_formation_energy_ev_per_atom": 2.375, "e_tot_ev_per_atom": -4.151}